# 1
Here is CrBiOs3 after structural relaxation from Alexandria. Energies are from PBE-GGA.

Values from the calculation:
Its energy relative to the elements is 1.54 eV/atom.

Geometry as POSCAR:
```
CrBiOs3
1.0
4.5443 0.0000 0.0000
0.0000 4.5443 0.0000
0.0000 0.0000 4.5443
Cr Bi Os
1 1 3
Direct
0.0000 0.0000 0.0000 Cr
0.5000 0.5000 0.5000 Bi
0.0000 0.0000 0.5000 Os
0.0000 0.5000 0.0000 Os
0.5000 0.0000 0.0000 Os
```



# 2
Here is Cr3BiOs after structural relaxation from Alexandria. Energies are from PBE-GGA.

Values from the calculation:
Its energy relative to the elements is 1.07 eV/atom.

Geometry as POSCAR:
```
Cr3BiOs
1.0
4.7657 0.0000 0.0000
0.0000 4.7657 0.0000
0.0000 0.0000 4.7657
Cr Bi Os
3 1 1
Direct
0.0000 0.0000 0.5000 Cr
0.0000 0.5000 0.0000 Cr
0.5000 0.0000 0.0000 Cr
0.5000 0.5000 0.5000 Bi
0.0000 0.0000 0.0000 Os
```



# 3
Here is Cr2BiOsPt after structural relaxation from Alexandria. Energies are from PBE-GGA.

Values from the calculation:
Its energy relative to the elements is 1.20 eV/atom.

Geometry as POSCAR:
```
Cr2BiOsPt
1.0
4.6833 0.0000 0.0000
0.0000 4.6833 0.0000
0.0000 0.0000 5.1394
Cr Bi Os Pt
2 1 1 1
Direct
0.0000 0.5000 0.0000 Cr
0.5000 0.0000 0.0000 Cr
0.0000 0.0000 0.5000 Bi
0.0000 0.0000 0.0000 Os
0.5000 0.5000 0.5000 Pt
```



# 4
Here is RbCrBiOs2 after structural relaxation from Alexandria. Energies are from PBE-GGA.

Values from the calculation:
Its energy relative to the elements is 1.48 eV/atom.

Geometry as POSCAR:
```
RbCrBiOs2
1.0
4.6890 0.0000 0.0000
0.0000 4.6890 0.0000
0.0000 0.0000 5.1845
Rb Cr Bi Os
1 1 1 2
Direct
0.0000 0.0000 0.0000 Rb
0.5000 0.5000 0.5000 Cr
0.5000 0.5000 0.0000 Bi
0.0000 0.5000 0.5000 Os
0.5000 0.0000 0.5000 Os
```



# 5
Here is CrBi2TeOs after structural relaxation from Alexandria. Energies are from PBE-GGA.

Values from the calculation:
Its formation energy from raw total energies is 1420 meV per atom.

Geometry as POSCAR:
```
CrBi2TeOs
1.0
5.1367 0.0000 0.0000
0.0000 5.1367 0.0000
0.0000 0.0000 4.8383
Cr Bi Te Os
1 2 1 1
Direct
0.0000 0.0000 0.0000 Cr
0.0000 0.5000 0.0000 Bi
0.5000 0.0000 0.0000 Bi
0.0000 0.0000 0.5000 Te
0.5000 0.5000 0.5000 Os
```



# 6
Here is YCr2BiOs after structural relaxation from Alexandria. Energies are from PBE-GGA.

Values from the calculation:
Its energy relative to the elements is 1.43 eV/atom.

Geometry as POSCAR:
```
YCr2BiOs
1.0
5.0128 0.0000 0.0000
0.0000 5.0128 0.0000
0.0000 0.0000 5.1097
Y Cr Bi Os
1 2 1 1
Direct
0.0000 0.0000 0.0000 Y
0.0000 0.5000 0.5000 Cr
0.5000 0.0000 0.5000 Cr
0.5000 0.5000 0.5000 Bi
0.5000 0.5000 0.0000 Os
```



# 7
Here is ZrCrBi2Os after structural relaxation from Alexandria. Energies are from PBE-GGA.

Values from the calculation:
Its energy relative to the elements is 1.04 eV/atom.

Geometry as POSCAR:
```
ZrCrBi2Os
1.0
5.3237 0.0000 0.0000
0.0000 5.3237 0.0000
0.0000 0.0000 4.6401
Zr Cr Bi Os
1 1 2 1
Direct
0.0000 0.0000 0.0000 Zr
0.5000 0.5000 0.0000 Cr
0.0000 0.5000 0.5000 Bi
0.5000 0.0000 0.5000 Bi
0.5000 0.5000 0.5000 Os
```



# 8
Here is CrBi3P after structural relaxation from Alexandria. Energies are from PBE-GGA.

Values from the calculation:
Its energy relative to the elements is 0.83 eV/atom.

Geometry as POSCAR:
```
CrBi3P
1.0
5.4035 0.0000 0.0000
0.0000 5.4035 0.0000
0.0000 0.0000 5.4035
Cr Bi P
1 3 1
Direct
0.0000 0.0000 0.0000 Cr
0.0000 0.5000 0.5000 Bi
0.5000 0.0000 0.5000 Bi
0.5000 0.5000 0.0000 Bi
0.5000 0.5000 0.5000 P
```



# 9
Here is CrBi3P after structural relaxation from Alexandria. Energies are from PBE-GGA.

Values from the calculation:
Its energy relative to the elements is 0.71 eV/atom.

Geometry as POSCAR:
```
CrBi3P
1.0
5.1071 0.0000 0.0000
0.0000 5.1071 0.0000
0.0000 0.0000 5.1071
Cr Bi P
1 3 1
Direct
0.0000 0.0000 0.0000 Cr
0.0000 0.0000 0.5000 Bi
0.0000 0.5000 0.0000 Bi
0.5000 0.0000 0.0000 Bi
0.5000 0.5000 0.5000 P
```



# 10
Here is CrBiPS2 after structural relaxation from Alexandria. Energies are from PBE-GGA.

Values from the calculation:
Its formation energy from raw total energies is 1031 meV per atom.

Geometry as POSCAR:
```
CrBiPS2
1.0
5.2015 0.0000 0.0000
0.0000 5.2015 0.0000
0.0000 0.0000 5.2995
Cr Bi P S
1 1 1 2
Direct
0.0000 0.0000 0.0000 Cr
0.5000 0.5000 0.5000 Bi
0.5000 0.5000 0.0000 P
0.0000 0.5000 0.5000 S
0.5000 0.0000 0.5000 S
```



# 11
Here is CrBiPS2 after structural relaxation from Alexandria. Energies are from PBE-GGA.

Values from the calculation:
Its formation energy from raw total energies is 148 meV per atom.

Geometry as POSCAR:
```
CrBiPS2
1.0
4.5834 0.0000 0.0000
0.0000 4.5834 0.0000
0.0000 0.0000 4.7467
Cr Bi P S
1 1 1 2
Direct
0.0000 0.0000 0.0000 Cr
0.5000 0.5000 0.5000 Bi
0.0000 0.0000 0.5000 P
0.0000 0.5000 0.0000 S
0.5000 0.0000 0.0000 S
```



# 12
Here is Cr2BiPSe after structural relaxation from Alexandria. Energies are from PBE-GGA.

Values from the calculation:
Its formation energy from raw total energies is 878 meV per atom.

Geometry as POSCAR:
```
Cr2BiPSe
1.0
4.3876 0.0000 0.0000
0.0000 4.3876 0.0000
0.0000 0.0000 5.5069
Cr Bi P Se
2 1 1 1
Direct
0.0000 0.5000 0.0000 Cr
0.5000 0.0000 0.0000 Cr
0.0000 0.0000 0.5000 Bi
0.0000 0.0000 0.0000 P
0.5000 0.5000 0.5000 Se
```



What did we get for Fermi-level density of states? Answer: 1.04, 1.08, 0.81, 1.22, 1.67, 1.02, 1.26, 0.81, 0.46, 0.83, 0.95, 2.02 states/eV/atom, in the order shown.